P | The following is a PBE-GGA calculation of a relaxed Fe2BS crystal, from Alexandria.

ρ, g cm⁻³: 6.187
Symmetry: Imm2
Magnetization, μB per atom: 0.000
Calculated volume, Å³ per cell: 165.9

Cell: 5.390 2.756 11.172 Å, 90.00 90.00 90.00°
Positions (direct):
S 0.000 0.500 0.171
S 0.500 0.000 0.671
S 0.000 0.500 0.624
S 0.500 0.000 0.124
B 0.769 0.000 0.908
B 0.231 0.000 0.908
B 0.269 0.500 0.408
B 0.731 0.500 0.408
Fe 0.753 0.000 0.271
Fe 0.247 0.000 0.271
Fe 0.253 0.500 0.771
Fe 0.747 0.500 0.771
Fe 0.000 0.000 0.473
Fe 0.500 0.500 0.973
Fe 0.000 0.500 0.973
Fe 0.500 0.000 0.473


Q | The following is a PBE-GGA calculation of a relaxed Fe2BS crystal, from Alexandria.

ρ, g cm⁻³: 6.050
Symmetry: Pm
Magnetization, μB per atom: 0.546
Calculated volume, Å³ per cell: 84.9

Cell: 5.021 2.915 5.842 Å, 90.00 97.21 90.00°
Each line ends with the local moment (μB).
Positions (direct):
S 0.007 0.000 0.613  -0.03
S 0.535 0.500 0.862  -0.01
B 0.415 0.000 0.330  -0.11
B 0.956 0.500 0.029  -0.08
Fe 0.660 0.500 0.497  1.44
Fe 0.130 0.500 0.353  1.12
Fe 0.214 0.000 0.987  1.08
Fe 0.726 0.000 0.130  1.06


Verdict on stability: Q comes out at the bottom.


P | The following is a PBE-GGA calculation of a relaxed Fe2BSb crystal, from Alexandria.

ρ, g cm⁻³: 6.886
Symmetry: I-42d
Magnetization, μB per atom: 0.294
Calculated volume, Å³ per cell: 117.8

Cell: 4.289 4.289 7.087 Å, 72.39 72.39 90.00°
Each line ends with the local moment (μB).
Positions (direct):
Sb 0.000 0.000 0.000  -0.04
Sb 0.750 0.250 0.500  -0.04
B 0.500 0.500 0.000  -0.07
B 0.250 0.750 0.500  -0.07
Fe 0.464 0.125 0.250  0.67
Fe 0.286 0.625 0.250  0.65
Fe 0.375 0.536 0.750  0.70
Fe 0.875 0.714 0.750  0.64


Q | The following is a PBE-GGA calculation of a relaxed Fe2BSb crystal, from Alexandria.

ρ, g cm⁻³: 8.654
Symmetry: Fm-3m
Magnetization, μB per atom: 0.000
Calculated volume, Å³ per cell: 46.9

Cell: 4.047 4.047 4.047 Å, 60.00 60.00 60.00°
Positions (direct):
Sb 0.500 0.500 0.500
B 0.000 0.000 0.000
Fe 0.250 0.250 0.250
Fe 0.750 0.750 0.750


Verdict on stability: Q comes out at the bottom.


P | The following is a PBE-GGA calculation of a relaxed FeBSbTe2 crystal, from Alexandria.

ρ, g cm⁻³: 5.736
Symmetry: P4/mmm
Magnetization, μB per atom: 0.467
Calculated volume, Å³ per cell: 128.4

Cell: 5.146 5.146 4.850 Å, 90.00 90.00 90.00°
Each line ends with the local moment (μB).
Positions (direct):
Sb 0.000 0.000 0.500  -0.02
B 0.500 0.500 0.500  0.00
Te 0.000 0.500 0.000  0.08
Te 0.500 0.000 0.000  0.08
Fe 0.000 0.000 0.000  2.00


Q | The following is a PBE-GGA calculation of a relaxed FeBSbTe2 crystal, from Alexandria.

ρ, g cm⁻³: 7.066
Symmetry: P4/mmm
Magnetization, μB per atom: 0.004
Calculated volume, Å³ per cell: 104.3

Cell: 4.736 4.736 4.647 Å, 90.00 90.00 90.00°
Positions (direct):
Sb 0.000 0.000 0.500
B 0.000 0.000 0.000
Te 0.000 0.500 0.000
Te 0.500 0.000 0.000
Fe 0.500 0.500 0.500


Verdict on stability: Q comes out at the bottom.


P | The following is a PBE-GGA calculation of a relaxed FeBSe3 crystal, from Alexandria.

ρ, g cm⁻³: 4.705
Symmetry: Pm-3m
Magnetization, μB per atom: 0.715
Calculated volume, Å³ per cell: 107.1

Cell: 4.749 4.749 4.749 Å, 90.00 90.00 90.00°
Each line ends with the local moment (μB).
Positions (direct):
B 0.500 0.500 0.500  0.03
Fe 0.000 0.000 0.000  2.56
Se 0.000 0.500 0.000  0.20
Se 0.000 0.000 0.500  0.13
Se 0.500 0.000 0.000  0.22


Q | The following is a PBE-GGA calculation of a relaxed FeBSe3 crystal, from Alexandria.

ρ, g cm⁻³: 6.164
Symmetry: Pm-3m
Magnetization, μB per atom: 0.000
Calculated volume, Å³ per cell: 81.8

Cell: 4.340 4.340 4.340 Å, 90.00 90.00 90.00°
Positions (direct):
B 0.000 0.000 0.000
Fe 0.500 0.500 0.500
Se 0.000 0.500 0.000
Se 0.000 0.000 0.500
Se 0.500 0.000 0.000


Verdict on stability: P comes out at the bottom.


P | The following is a PBE-GGA calculation of a relaxed Fe3BSe crystal, from Alexandria.

ρ, g cm⁻³: 7.508
Symmetry: Pm-3m
Magnetization, μB per atom: 0.184
Calculated volume, Å³ per cell: 56.9

Cell: 3.846 3.846 3.846 Å, 90.00 90.00 90.00°
Each line ends with the local moment (μB).
Positions (direct):
B 0.000 0.000 0.000  -0.01
Fe 0.000 0.500 0.000  0.33
Fe 0.000 0.000 0.500  0.28
Fe 0.500 0.000 0.000  0.28
Se 0.500 0.500 0.500  0.00


Q | The following is a PBE-GGA calculation of a relaxed Fe3BSe crystal, from Alexandria.

ρ, g cm⁻³: 5.181
Symmetry: Pm-3m
Magnetization, μB per atom: 1.400
Calculated volume, Å³ per cell: 82.5

Cell: 4.353 4.353 4.353 Å, 90.00 90.00 90.00°
Each line ends with the local moment (μB).
Positions (direct):
B 0.500 0.500 0.500  -0.06
Fe 0.000 0.500 0.000  2.36
Fe 0.000 0.000 0.500  2.26
Fe 0.500 0.000 0.000  2.64
Se 0.000 0.000 0.000  -0.04


Verdict on stability: Q comes out at the bottom.


P | The following is a PBE-GGA calculation of a relaxed Fe2BSe2 crystal, from Alexandria.

ρ, g cm⁻³: 6.537
Symmetry: P4/mbm
Magnetization, μB per atom: 0.658
Calculated volume, Å³ per cell: 142.5

Cell: 5.367 5.367 4.946 Å, 90.00 90.00 90.00°
Each line ends with the local moment (μB).
Positions (direct):
B 0.000 0.000 0.000  -0.19
B 0.500 0.500 0.000  -0.19
Fe 0.338 0.838 0.000  1.82
Fe 0.838 0.662 0.000  1.77
Fe 0.662 0.162 0.000  1.82
Fe 0.162 0.338 0.000  1.77
Se 0.332 0.832 0.500  -0.01
Se 0.832 0.668 0.500  -0.01
Se 0.668 0.168 0.500  -0.01
Se 0.168 0.332 0.500  -0.01


Q | The following is a PBE-GGA calculation of a relaxed Fe2BSe2 crystal, from Alexandria.

ρ, g cm⁻³: 4.648
Symmetry: I4/mmm
Magnetization, μB per atom: 0.200
Calculated volume, Å³ per cell: 100.2

Cell: 4.600 4.600 5.744 Å, 66.40 66.40 90.00°
Each line ends with the local moment (μB).
Positions (direct):
B 0.000 0.000 0.000  -0.06
Fe 0.190 0.190 0.620  0.51
Fe 0.810 0.810 0.380  0.51
Se 0.750 0.250 0.500  0.02
Se 0.250 0.750 0.500  0.02


Verdict on stability: P comes out at the bottom.


P | The following is a PBE-GGA calculation of a relaxed Fe2BSe crystal, from Alexandria.

ρ, g cm⁻³: 8.053
Symmetry: Fm-3m
Magnetization, μB per atom: 0.148
Calculated volume, Å³ per cell: 41.5

Cell: 3.887 3.887 3.887 Å, 60.00 60.00 60.00°
Each line ends with the local moment (μB).
Positions (direct):
B 0.000 0.000 0.000  -0.01
Fe 0.250 0.250 0.250  0.32
Fe 0.750 0.750 0.750  0.32
Se 0.500 0.500 0.500  0.00


Q | The following is a PBE-GGA calculation of a relaxed Fe2BSe crystal, from Alexandria.

ρ, g cm⁻³: 6.064
Symmetry: I-42d
Magnetization, μB per atom: 0.000
Calculated volume, Å³ per cell: 110.3

Cell: 4.809 4.809 5.859 Å, 65.77 65.77 90.00°
Positions (direct):
B 0.500 0.500 0.000
B 0.250 0.750 0.500
Fe 0.562 0.125 0.250
Fe 0.188 0.625 0.250
Fe 0.375 0.438 0.750
Fe 0.875 0.812 0.750
Se 0.000 0.000 0.000
Se 0.750 0.250 0.500


Verdict on stability: P comes out at the bottom.


P | The following is a PBE-GGA calculation of a relaxed FeSiB crystal, from Alexandria.

ρ, g cm⁻³: 5.033
Symmetry: P1
Magnetization, μB per atom: 0.000
Calculated volume, Å³ per cell: 62.5

Cell: 4.029 4.035 4.343 Å, 65.25 88.89 77.93°
Positions (direct):
Si 0.240 0.596 0.631
Si 0.632 0.991 0.685
B 0.939 0.427 0.170
B 0.290 0.084 0.143
Fe 0.415 0.546 0.147
Fe 0.835 0.938 0.211


Q | The following is a PBE-GGA calculation of a relaxed FeSiB crystal, from Alexandria.

ρ, g cm⁻³: 5.564
Symmetry: C2/m
Magnetization, μB per atom: 0.000
Calculated volume, Å³ per cell: 113.1

Cell: 5.733 2.751 7.304 Å, 90.00 100.96 90.00°
Positions (direct):
Si 0.627 0.000 0.159
Si 0.373 0.000 0.841
Si 0.627 0.500 0.659
Si 0.373 0.500 0.341
B 0.940 0.000 0.639
B 0.060 0.000 0.361
B 0.940 0.500 0.139
B 0.060 0.500 0.861
Fe 0.797 0.000 0.899
Fe 0.203 0.000 0.101
Fe 0.797 0.500 0.399
Fe 0.203 0.500 0.601


Verdict on stability: P comes out at the bottom.


P | The following is a PBE-GGA calculation of a relaxed FeSiB crystal, from Alexandria.

ρ, g cm⁻³: 5.154
Symmetry: P-1
Magnetization, μB per atom: 0.000
Calculated volume, Å³ per cell: 61.1

Cell: 3.906 3.924 4.470 Å, 98.85 91.96 114.84°
Positions (direct):
Si 0.081 0.809 0.666
Si 0.919 0.191 0.334
B 0.305 0.299 0.022
B 0.695 0.701 0.978
Fe 0.734 0.199 0.814
Fe 0.266 0.801 0.186


Q | The following is a PBE-GGA calculation of a relaxed FeSiB crystal, from Alexandria.

ρ, g cm⁻³: 5.211
Symmetry: C2/m
Magnetization, μB per atom: 0.202
Calculated volume, Å³ per cell: 120.8

Cell: 5.700 3.139 7.117 Å, 90.00 108.44 90.00°
Each line ends with the local moment (μB).
Positions (direct):
Si 0.630 0.000 0.887  -0.01
Si 0.370 0.000 0.113  -0.01
Si 0.630 0.500 0.387  -0.01
Si 0.370 0.500 0.613  -0.01
B 0.868 0.000 0.541  -0.02
B 0.132 0.000 0.459  -0.02
B 0.868 0.500 0.041  -0.02
B 0.132 0.500 0.959  -0.02
Fe 0.810 0.000 0.230  0.65
Fe 0.190 0.000 0.770  0.65
Fe 0.810 0.500 0.730  0.65
Fe 0.190 0.500 0.270  0.65


Verdict on stability: P comes out at the bottom.


P | The following is a PBE-GGA calculation of a relaxed FeSiB crystal, from Alexandria.

ρ, g cm⁻³: 5.860
Symmetry: Cm
Magnetization, μB per atom: 0.000
Calculated volume, Å³ per cell: 107.4

Cell: 5.061 4.033 6.991 Å, 90.00 131.19 90.00°
Positions (direct):
Si 0.534 0.000 0.818
Si 0.534 0.500 0.318
Si 0.185 0.000 0.990
Si 0.185 0.500 0.490
B 0.746 0.213 0.168
B 0.746 0.787 0.168
B 0.746 0.713 0.668
B 0.746 0.287 0.668
Fe 0.289 0.000 0.377
Fe 0.289 0.500 0.877
Fe 0.917 0.000 0.512
Fe 0.917 0.500 0.012


Q | The following is a PBE-GGA calculation of a relaxed FeSiB crystal, from Alexandria.

ρ, g cm⁻³: 5.031
Symmetry: P-1
Magnetization, μB per atom: 0.000
Calculated volume, Å³ per cell: 62.5

Cell: 3.794 3.984 4.746 Å, 66.27 74.31 76.25°
Positions (direct):
Si 0.185 0.746 0.440
Si 0.815 0.254 0.560
B 0.672 0.313 0.027
B 0.328 0.687 0.973
Fe 0.769 0.756 0.097
Fe 0.231 0.244 0.903


R | The following is a PBE-GGA calculation of a relaxed FeSiB crystal, from Alexandria.

ρ, g cm⁻³: 5.142
Symmetry: P1
Magnetization, μB per atom: 0.000
Calculated volume, Å³ per cell: 61.2

Cell: 3.976 3.999 4.246 Å, 91.14 100.79 111.97°
Positions (direct):
Si 0.970 0.395 0.590
Si 0.378 0.162 0.216
B 0.816 0.051 0.940
B 0.430 0.676 0.974
Fe 0.558 0.724 0.518
Fe 0.919 0.598 0.081


S | The following is a PBE-GGA calculation of a relaxed FeSiB crystal, from Alexandria.

ρ, g cm⁻³: 4.930
Symmetry: C2
Magnetization, μB per atom: 0.000
Calculated volume, Å³ per cell: 127.7

Cell: 4.420 4.809 6.012 Å, 90.00 92.61 90.00°
Positions (direct):
Si 0.619 0.642 0.318
Si 0.381 0.642 0.682
Si 0.619 0.142 0.818
Si 0.381 0.142 0.182
B 0.000 0.363 0.000
B 0.000 0.863 0.500
B 0.000 0.717 0.000
B 0.000 0.217 0.500
Fe 0.883 0.033 0.198
Fe 0.117 0.033 0.802
Fe 0.883 0.533 0.698
Fe 0.117 0.533 0.302


Verdict on stability: R comes out at the bottom.


P | The following is a PBE-GGA calculation of a relaxed FeSiB crystal, from Alexandria.

ρ, g cm⁻³: 4.623
Symmetry: C2/m
Magnetization, μB per atom: 0.000
Calculated volume, Å³ per cell: 136.1

Cell: 6.566 2.917 8.072 Å, 90.00 118.29 90.00°
Positions (direct):
Si 0.167 0.000 0.362
Si 0.833 0.000 0.638
Si 0.167 0.500 0.862
Si 0.833 0.500 0.138
B 0.559 0.000 0.744
B 0.441 0.000 0.256
B 0.559 0.500 0.244
B 0.441 0.500 0.756
Fe 0.788 0.000 0.342
Fe 0.212 0.000 0.658
Fe 0.788 0.500 0.842
Fe 0.212 0.500 0.158


Q | The following is a PBE-GGA calculation of a relaxed FeSiB crystal, from Alexandria.

ρ, g cm⁻³: 5.443
Symmetry: C2/m
Magnetization, μB per atom: 0.000
Calculated volume, Å³ per cell: 115.6

Cell: 5.072 3.264 7.008 Å, 90.00 94.73 90.00°
Positions (direct):
Si 0.638 0.000 0.154
Si 0.362 0.000 0.846
Si 0.638 0.500 0.654
Si 0.362 0.500 0.346
B 0.863 0.000 0.562
B 0.137 0.000 0.438
B 0.863 0.500 0.062
B 0.137 0.500 0.938
Fe 0.833 0.000 0.860
Fe 0.167 0.000 0.140
Fe 0.833 0.500 0.360
Fe 0.167 0.500 0.640


Verdict on stability: P comes out at the bottom.